A relaxed Tm12TlPt6 crystal. Source: Alexandria, functional PBE.

abc: 9.840 9.840 9.840
angles: 90.00 90.00 90.00
Space group Im-3 (No. 204)
Symmetry-distinct sites (fractional):
Tm: 0.000 0.181 0.298 (multiplicity 24)
Tl: 0.000 0.000 0.000 (multiplicity 2)
Pt: 0.000 0.360 0.500 (multiplicity 12)

Values from the calculation:
M_tot ... 0.000 μB/atom
ρ ... 11.9 g cm⁻³
ΔH_f (0 K) ... -0.866 eV/atom

A relaxed CsNiCl crystal. Source: Alexandria, functional PBE.

abc: 5.107 5.316 7.757
angles: 110.02 90.07 90.07
Space group P-1 (No. 2)
Symmetry-distinct sites (fractional):
Cs: 0.249 0.367 0.235 (multiplicity 2)
Ni: 0.000 0.000 0.500 (multiplicity 1)
Ni: 0.500 0.000 0.500 (multiplicity 1)
Cl: 0.251 0.119 0.738 (multiplicity 2)

Values from the calculation:
M_tot ... 0.000 μB/atom
Formation energy from raw total energies ... -0.5987 eV/atom
ρ ... 3.8 g cm⁻³

A relaxed BaZnAs2O6 crystal. Source: Alexandria, functional PBE.

abc: 5.6292 5.6292 17.4084
angles: 90.00 90.00 120.00
Space group R-3 (No. 148, hexagonal axes)
Symmetry-distinct sites (fractional):
Ba: 0.0000 0.0000 0.0000 (multiplicity 3)
Zn: 0.0000 0.0000 0.5000 (multiplicity 3)
As: 0.0000 0.0000 0.2610 (multiplicity 6)
O: 0.0105 0.3996 0.9012 (multiplicity 18)

Values from the calculation:
M_tot ... 0.000 μB/atom
Formation energy from raw total energies ... -1.3916 eV/atom
ρ ... 4.7 g cm⁻³